VASP calculation (PBE with a Hubbard U) on a relaxed structure of Cr3CuNi2O8.

Structure (extended XYZ):
```
14
Lattice="-4.693 -2.875 -2.237 -1.542 -5.310 2.172 -4.944 -0.571 3.218" Properties=species:S:1:pos:R:3 pbc="T T T"
Cr -3.898 -6.732 1.054
Cr -5.462 -5.524 -1.134
Cr -3.133 -4.097 -0.024
Cu -7.282 -7.396 1.120
Ni -3.896 -1.360 2.034
Ni -5.591 -4.377 1.579
O -2.736 -2.233 0.722
O -8.486 -6.490 2.481
O -5.370 -2.517 2.448
O -7.585 -3.874 1.392
O -6.097 -5.024 3.473
O -5.073 -3.765 -0.295
O -3.623 -4.885 1.733
O -5.782 -6.208 0.704
```

- SG = R3m (160)
- total moment (Bohr magnetons per cell) = 7.00
- calculated total energy (eV/atom) = -6.50